Arrangement w

The following is a GGA-PBE calculation of a geometry-optimized Sb2Pb2Br structure, from Alexandria.

It has space group P4/mbm (No. 127), with a = 8.904 Å, b = 8.904 Å, c = 4.122 Å, α = 90.00°, β = 90.00° and γ = 90.00°. Symmetry generates all atoms from Sb at (0.119, 0.381, 0.000), Pb at (0.158, 0.658, 0.500) and Br at (0.000, 0.000, 0.000).

Arrangement x

The following is a GGA-PBE calculation of a geometry-optimized Sb2Pb2Br structure, from Alexandria.

It has space group P4/mbm (No. 127), with a = 8.938 Å, b = 8.938 Å, c = 4.109 Å, α = 90.00°, β = 90.00° and γ = 90.00°. Symmetry generates all atoms from Sb at (0.115, 0.385, 0.000), Pb at (0.167, 0.667, 0.500) and Br at (0.000, 0.000, 0.500).

Arrangement y

The following is a GGA-PBE calculation of a geometry-optimized Sb2Pb2Br structure, from Alexandria.

It has space group I4/mmm (No. 139), with a = 4.597 Å, b = 4.597 Å, c = 15.992 Å, α = 90.00°, β = 90.00° and γ = 90.00°. Symmetry generates all atoms from Sb at (0.000, 0.500, 0.250), Pb at (0.000, 0.000, 0.111) and Br at (0.000, 0.000, 0.500).

On energetic grounds, arrangement y is preferred over the next structure by 134 meV/atom.

Arrangement w

The following is a GGA-PBE calculation of a geometry-optimized SbTe2PbBr structure, from Alexandria.

It has space group P4/mmm (No. 123), with a = 5.809 Å, b = 5.809 Å, c = 6.054 Å, α = 90.00°, β = 90.00° and γ = 90.00°. Symmetry generates all atoms from Sb at (0.000, 0.000, 0.000), Te at (0.000, 0.500, 0.500), Pb at (0.000, 0.000, 0.500) and Br at (0.500, 0.500, 0.000).

Arrangement x

The following is a GGA-PBE calculation of a geometry-optimized SbTe2PbBr structure, from Alexandria.

It has space group P4/mmm (No. 123), with a = 5.694 Å, b = 5.694 Å, c = 5.504 Å, α = 90.00°, β = 90.00° and γ = 90.00°. Symmetry generates all atoms from Sb at (0.000, 0.000, 0.000), Te at (0.000, 0.500, 0.500), Pb at (0.500, 0.500, 0.000) and Br at (0.000, 0.000, 0.500).

On energetic grounds, arrangement x is preferred over the next structure by 69 meV/atom.

Arrangement w

The following is a GGA-PBE calculation of a geometry-optimized Sb2TePbBr structure, from Alexandria.

It has space group P4/mmm (No. 123), with a = 5.504 Å, b = 5.504 Å, c = 5.809 Å, α = 90.00°, β = 90.00° and γ = 90.00°. Symmetry generates all atoms from Sb at (0.000, 0.500, 0.000), Te at (0.000, 0.000, 0.500), Pb at (0.500, 0.500, 0.500) and Br at (0.000, 0.000, 0.000).

Arrangement x

The following is a GGA-PBE calculation of a geometry-optimized Sb2TePbBr structure, from Alexandria.

It has space group P4/mmm (No. 123), with a = 5.908 Å, b = 5.908 Å, c = 5.781 Å, α = 90.00°, β = 90.00° and γ = 90.00°. Symmetry generates all atoms from Sb at (0.000, 0.500, 0.000), Te at (0.000, 0.000, 0.500), Pb at (0.000, 0.000, 0.000) and Br at (0.500, 0.500, 0.500).

On energetic grounds, arrangement w is preferred over the next structure by 96 meV/atom.

Arrangement w

The following is a GGA-PBE calculation of a geometry-optimized ScPbBr structure, from Alexandria.

It has space group P3m1 (No. 156), with a = 3.6098 Å, b = 3.6098 Å, c = 7.8443 Å, α = 90.00°, β = 90.00° and γ = 120.00°. Symmetry generates all atoms from Sc at (0.0000, 0.0000, 0.0000), Pb at (0.3333, 0.6667, 0.6951) and Br at (0.6667, 0.3333, 0.2240).

Arrangement x

The following is a GGA-PBE calculation of a geometry-optimized ScPbBr structure, from Alexandria.

It has space group P-6m2 (No. 187), with a = 4.9267 Å, b = 4.9267 Å, c = 3.6221 Å, α = 90.00°, β = 90.00° and γ = 120.00°. Symmetry generates all atoms from Sc at (0.0000, 0.0000, 0.0000), Pb at (0.3333, 0.6667, 0.5000) and Br at (0.6667, 0.3333, 0.0000).

On energetic grounds, arrangement w is preferred over the next structure by 349 meV/atom.

Arrangement w

The following is a GGA-PBE calculation of a geometry-optimized ScPbBr structure, from Alexandria.

It has space group F-43m (No. 216), with a = 7.059 Å, b = 7.059 Å, c = 7.059 Å, α = 90.00°, β = 90.00° and γ = 90.00°. Symmetry generates all atoms from Sc at (0.000, 0.000, 0.000), Pb at (0.250, 0.250, 0.750) and Br at (0.250, 0.250, 0.250).

Arrangement x

The following is a GGA-PBE calculation of a geometry-optimized ScPbBr structure, from Alexandria.

It has space group F-43m (No. 216), with a = 7.061 Å, b = 7.061 Å, c = 7.061 Å, α = 90.00°, β = 90.00° and γ = 90.00°. Symmetry generates all atoms from Sc at (0.000, 0.000, 0.000), Pb at (0.000, 0.000, 0.500) and Br at (0.250, 0.250, 0.250).

Arrangement y

The following is a GGA-PBE calculation of a geometry-optimized ScPbBr structure, from Alexandria.

It has space group Fmm2 (No. 42), with a = 3.811 Å, b = 5.788 Å, c = 16.098 Å, α = 90.00°, β = 90.00° and γ = 90.00°. Symmetry generates all atoms from Sc at (0.000, 0.000, 0.000), Pb at (0.000, 0.000, 0.348) and Br at (0.000, 0.000, 0.617).

Arrangement z

The following is a GGA-PBE calculation of a geometry-optimized ScPbBr structure, from Alexandria.

It has space group I4mm (No. 107), with a = 3.384 Å, b = 3.384 Å, c = 14.875 Å, α = 90.00°, β = 90.00° and γ = 90.00°. Symmetry generates all atoms from Sc at (0.000, 0.000, 0.000), Pb at (0.000, 0.000, 0.655) and Br at (0.000, 0.000, 0.397).

On energetic grounds, arrangement z is preferred over the next structure by 73 meV/atom.

Arrangement w

The following is a GGA-PBE calculation of a geometry-optimized PbSeBr structure, from Alexandria.

It has space group F-43m (No. 216), with a = 7.234 Å, b = 7.234 Å, c = 7.234 Å, α = 90.00°, β = 90.00° and γ = 90.00°. Symmetry generates all atoms from Pb at (0.000, 0.000, 0.000), Se at (0.250, 0.250, 0.250) and Br at (0.000, 0.000, 0.500).

Arrangement x

The following is a GGA-PBE calculation of a geometry-optimized PbSeBr structure, from Alexandria.

It has space group I4mm (No. 107), with a = 4.236 Å, b = 4.236 Å, c = 10.595 Å, α = 90.00°, β = 90.00° and γ = 90.00°. Symmetry generates all atoms from Pb at (0.000, 0.000, 0.000), Se at (0.000, 0.000, 0.437) and Br at (0.000, 0.000, 0.721).

On energetic grounds, arrangement x is preferred over the next structure by 148 meV/atom.

Arrangement w

The following is a GGA-PBE calculation of a geometry-optimized PbSeBr structure, from Alexandria.

It has space group F-43m (No. 216), with a = 7.298 Å, b = 7.298 Å, c = 7.298 Å, α = 90.00°, β = 90.00° and γ = 90.00°. Symmetry generates all atoms from Pb at (0.000, 0.000, 0.000), Se at (0.250, 0.250, 0.250) and Br at (0.250, 0.250, 0.750).

Arrangement x

The following is a GGA-PBE calculation of a geometry-optimized PbSeBr structure, from Alexandria.

It has space group P2_1/m (No. 11), with a = 4.314 Å, b = 4.310 Å, c = 9.215 Å, α = 90.00°, β = 90.04° and γ = 90.00°. Symmetry generates all atoms from Pb at (0.247, 0.250, 0.253), Se at (0.250, 0.750, 0.500) and Br at (0.251, 0.250, 0.868).

Arrangement y

The following is a GGA-PBE calculation of a geometry-optimized PbSeBr structure, from Alexandria.

It has space group P3m1 (No. 156), with a = 4.1864 Å, b = 4.1864 Å, c = 6.3949 Å, α = 90.00°, β = 90.00° and γ = 120.00°. Symmetry generates all atoms from Pb at (0.0000, 0.0000, 0.0000), Se at (0.6667, 0.3333, 0.2405) and Br at (0.3333, 0.6667, 0.6893).

On energetic grounds, arrangement x is preferred over the next structure by 167 meV/atom.

Arrangement w

The following is a GGA-PBE calculation of a geometry-optimized PbSeBr3 structure, from Alexandria.

It has space group Pm-3m (No. 221), with a = 5.840 Å, b = 5.840 Å, c = 5.840 Å, α = 90.00°, β = 90.00° and γ = 90.00°. Symmetry generates all atoms from Pb at (0.000, 0.000, 0.000), Se at (0.500, 0.500, 0.500) and Br at (0.000, 0.000, 0.500).

Arrangement x

The following is a GGA-PBE calculation of a geometry-optimized PbSeBr3 structure, from Alexandria.

It has space group Pm-3m (No. 221), with a = 5.452 Å, b = 5.452 Å, c = 5.452 Å, α = 90.00°, β = 90.00° and γ = 90.00°. Symmetry generates all atoms from Pb at (0.000, 0.000, 0.000), Se at (0.500, 0.500, 0.500) and Br at (0.000, 0.500, 0.500).

On energetic grounds, arrangement w is preferred over the next structure by 11 meV/atom.

Arrangement w

The following is a GGA-PBE calculation of a geometry-optimized TaPbSe2Br structure, from Alexandria.

It has space group P4/mmm (No. 123), with a = 5.102 Å, b = 5.102 Å, c = 5.126 Å, α = 90.00°, β = 90.00° and γ = 90.00°. Symmetry generates all atoms from Ta at (0.000, 0.000, 0.000), Pb at (0.500, 0.500, 0.500), Se at (0.000, 0.500, 0.000) and Br at (0.000, 0.000, 0.500).

Arrangement x

The following is a GGA-PBE calculation of a geometry-optimized TaPbSe2Br structure, from Alexandria.

It has space group P4/mmm (No. 123), with a = 5.449 Å, b = 5.449 Å, c = 5.408 Å, α = 90.00°, β = 90.00° and γ = 90.00°. Symmetry generates all atoms from Ta at (0.000, 0.000, 0.000), Pb at (0.500, 0.500, 0.500), Se at (0.000, 0.500, 0.500) and Br at (0.500, 0.500, 0.000).

On energetic grounds, arrangement w is preferred over the next structure by 1340 meV/atom.

Arrangement w

The following is a GGA-PBE calculation of a geometry-optimized YPbSeBr2 structure, from Alexandria.

It has space group P4/mmm (No. 123), with a = 5.625 Å, b = 5.625 Å, c = 5.838 Å, α = 90.00°, β = 90.00° and γ = 90.00°. Symmetry generates all atoms from Y at (0.000, 0.000, 0.000), Pb at (0.500, 0.500, 0.500), Se at (0.500, 0.500, 0.000) and Br at (0.000, 0.500, 0.500).

Arrangement x

The following is a GGA-PBE calculation of a geometry-optimized YPbSeBr2 structure, from Alexandria.

It has space group P4/mmm (No. 123), with a = 5.550 Å, b = 5.550 Å, c = 5.544 Å, α = 90.00°, β = 90.00° and γ = 90.00°. Symmetry generates all atoms from Y at (0.000, 0.000, 0.000), Pb at (0.500, 0.500, 0.500), Se at (0.000, 0.000, 0.500) and Br at (0.000, 0.500, 0.000).

On energetic grounds, arrangement x is preferred over the next structure by 723 meV/atom.

Arrangement w

The following is a GGA-PBE calculation of a geometry-optimized YPbSe2Br structure, from Alexandria.

It has space group P4/mmm (No. 123), with a = 5.532 Å, b = 5.532 Å, c = 5.374 Å, α = 90.00°, β = 90.00° and γ = 90.00°. Symmetry generates all atoms from Y at (0.000, 0.000, 0.000), Pb at (0.500, 0.500, 0.500), Se at (0.000, 0.500, 0.000) and Br at (0.000, 0.000, 0.500).

Arrangement x

The following is a GGA-PBE calculation of a geometry-optimized YPbSe2Br structure, from Alexandria.

It has space group P4/mmm (No. 123), with a = 5.521 Å, b = 5.521 Å, c = 5.449 Å, α = 90.00°, β = 90.00° and γ = 90.00°. Symmetry generates all atoms from Y at (0.000, 0.000, 0.000), Pb at (0.500, 0.500, 0.500), Se at (0.000, 0.500, 0.500) and Br at (0.500, 0.500, 0.000).

On energetic grounds, arrangement w is preferred over the next structure by 722 meV/atom.

Arrangement w

The following is a GGA-PBE calculation of a geometry-optimized ZnPbSeBr2 structure, from Alexandria.

It has space group P4/mmm (No. 123), with a = 5.709 Å, b = 5.709 Å, c = 5.627 Å, α = 90.00°, β = 90.00° and γ = 90.00°. Symmetry generates all atoms from Zn at (0.000, 0.000, 0.000), Pb at (0.500, 0.500, 0.500), Se at (0.500, 0.500, 0.000) and Br at (0.000, 0.500, 0.500).

Arrangement x

The following is a GGA-PBE calculation of a geometry-optimized ZnPbSeBr2 structure, from Alexandria.

It has space group P4/mmm (No. 123), with a = 5.136 Å, b = 5.136 Å, c = 5.310 Å, α = 90.00°, β = 90.00° and γ = 90.00°. Symmetry generates all atoms from Zn at (0.000, 0.000, 0.000), Pb at (0.500, 0.500, 0.500), Se at (0.000, 0.000, 0.500) and Br at (0.000, 0.500, 0.000).

On energetic grounds, arrangement x is preferred over the next structure by 442 meV/atom.

Arrangement w

The following is a GGA-PBE calculation of a geometry-optimized SiPbBr2 structure, from Alexandria.

It has space group C2/m (No. 12), with a = 6.779 Å, b = 8.951 Å, c = 5.200 Å, α = 90.00°, β = 130.46° and γ = 90.00°. Symmetry generates all atoms from Si at (0.000, 0.000, 0.000), Pb at (0.000, 0.500, 0.000) and Br at (0.250, 0.250, 0.500).

Arrangement x

The following is a GGA-PBE calculation of a geometry-optimized SiPbBr2 structure, from Alexandria.

It has space group P4/mmm (No. 123), with a = 4.961 Å, b = 4.961 Å, c = 4.286 Å, α = 90.00°, β = 90.00° and γ = 90.00°. Symmetry generates all atoms from Si at (0.000, 0.000, 0.000), Pb at (0.500, 0.500, 0.000) and Br at (0.000, 0.500, 0.500).

On energetic grounds, arrangement w is preferred over the next structure by 172 meV/atom.